Below is HoMnO3 after structural relaxation, with properties calculated at the PBE with a Hubbard U level.

Geometry as POSCAR:
```
HoMnO3
1.0
5.309 0.000 0.000
0.000 5.860 0.000
0.000 0.000 7.471
O Ho Mn
12 4 4
direct
0.699 0.327 0.057
0.199 0.173 0.943
0.699 0.327 0.443
0.301 0.673 0.557
0.801 0.827 0.443
0.621 0.044 0.750
0.879 0.544 0.750
0.379 0.956 0.250
0.121 0.456 0.250
0.199 0.173 0.557
0.301 0.673 0.943
0.801 0.827 0.057
0.519 0.583 0.250
0.019 0.917 0.750
0.981 0.083 0.250
0.481 0.417 0.750
0.500 0.000 0.000
0.000 0.500 0.500
0.500 0.000 0.500
0.000 0.500 0.000
```

Properties
E_tot   -8.0086 eV/atom
Space group   No. 62
Calculated volume   11.62 Å³/atom